Compound: Hf2AlB2
Source: Alexandria via LeMat-Bulk
Functional: PBE
Structure: relaxed

Lattice parameters (Å, degrees): 6.0292 6.0292 3.6116 90.00 90.00 90.00
Fractional positions:
Hf (0.1786, 0.3214, 0.0000)
Hf (0.3214, 0.8214, 0.0000)
Hf (0.6786, 0.1786, 0.0000)
Hf (0.8214, 0.6786, 0.0000)
Al (0.0000, 0.0000, 0.5000)
Al (0.5000, 0.5000, 0.5000)
B (0.1052, 0.6052, 0.5000)
B (0.3948, 0.1052, 0.5000)
B (0.6052, 0.8948, 0.5000)
B (0.8948, 0.3948, 0.5000)

Summary:
Calculated volume in A^3/atom: 13.13
Calculated formation energy in eV/atom: -0.65
Symmetry: P4/mbm, No. 127
Crystal system: tetragonal